The following is a DFT calculation (PBE-GGA) of crystalline KBa2CaIr at its relaxed geometry.

Summary:
Final energy: -16.2 eV/cell
Energy relative to the elements: -0.080 eV/atom
N(E_F): 4.1 states/eV/f.u.
Space group: P4/mmm
Total magnetic moment: 0.000 μB per formula unit

a b c (Å): 6.286 6.286 5.783
angles (deg): 90.00 90.00 90.00
Fractional positions:
Ir: 0.000 0.000 0.000
Ba: 0.500 0.000 0.000
Ba: 0.000 0.500 0.000
Ca: 0.000 0.000 0.500
K: 0.500 0.500 0.500

The following is a DFT calculation (PBE-GGA) of crystalline BaCaLa2Ir at its relaxed geometry.

Summary:
Final energy: -24.3 eV/cell
Energy relative to the elements: -0.325 eV/atom
N(E_F): 4.3 states/eV/f.u.
Space group: P4/mmm
Total magnetic moment: 0.000 μB per formula unit
Energy relative to the lowest polymorph listed for this composition: 0 kJ/mol of formula units

a b c (Å): 5.692 5.692 5.989
angles (deg): 90.00 90.00 90.00
Fractional positions:
Ba: 0.500 0.500 0.500
Ir: 0.000 0.000 0.000
Ca: 0.000 0.000 0.500
La: 0.000 0.500 0.000
La: 0.500 0.000 0.000

The following is a DFT calculation (PBE-GGA) of crystalline Ba2CaLaIr at its relaxed geometry.

Summary:
Final energy: -20.4 eV/cell
Energy relative to the elements: -0.160 eV/atom
N(E_F): 4.4 states/eV/f.u.
Space group: P4/mmm
Total magnetic moment: 0.000 μB per formula unit

a b c (Å): 6.359 6.359 5.535
angles (deg): 90.00 90.00 90.00
Fractional positions:
Ba: 0.000 0.500 0.000
Ba: 0.500 0.000 0.000
La: 0.000 0.000 0.500
Ir: 0.000 0.000 0.000
Ca: 0.500 0.500 0.500

The following is a DFT calculation (PBE-GGA) of crystalline BaCaLa2Ir at its relaxed geometry.

Summary:
Final energy: -23.9 eV/cell
Energy relative to the elements: -0.248 eV/atom
N(E_F): 3.8 states/eV/f.u.
Space group: P4/mmm
Total magnetic moment: 0.000 μB per formula unit
Energy relative to the lowest polymorph listed for this composition: 37 kJ/mol of formula units

a b c (Å): 5.665 5.665 6.390
angles (deg): 90.00 90.00 90.00
Fractional positions:
La: 0.000 0.500 0.000
La: 0.500 0.000 0.000
Ir: 0.000 0.000 0.000
Ca: 0.500 0.500 0.500
Ba: 0.000 0.000 0.500

The following is a DFT calculation (PBE-GGA) of crystalline Ba2LiCaIr at its relaxed geometry.

Summary:
Final energy: -17.0 eV/cell
Energy relative to the elements: -0.078 eV/atom
N(E_F): 3.4 states/eV/f.u.
Space group: P4/mmm
Total magnetic moment: 0.000 μB per formula unit

a b c (Å): 6.159 6.159 5.607
angles (deg): 90.00 90.00 90.00
Fractional positions:
Ca: 0.000 0.000 0.500
Ba: 0.500 0.000 0.000
Ba: 0.000 0.500 0.000
Ir: 0.000 0.000 0.000
Li: 0.500 0.500 0.500

The following is a DFT calculation (PBE-GGA) of crystalline BaLiCaIr at its relaxed geometry.

Summary:
Final energy: -14.8 eV/cell
Energy relative to the elements: -0.031 eV/atom
N(E_F): 1.2 states/eV/f.u.
Space group: F-43m
Total magnetic moment: 0.000 μB per formula unit

a b c (Å): 5.285 5.285 5.285
angles (deg): 60.00 60.00 60.00
Fractional positions:
Ir: 0.500 0.500 0.500
Li: 0.000 0.000 0.000
Ba: 0.750 0.750 0.750
Ca: 0.250 0.250 0.250

The following is a DFT calculation (PBE-GGA) of crystalline BaLiCa2Ir at its relaxed geometry.

Summary:
Final energy: -17.2 eV/cell
Energy relative to the elements: -0.104 eV/atom
N(E_F): 3.7 states/eV/f.u.
Space group: P4/mmm
Total magnetic moment: 0.000 μB per formula unit
Energy relative to the lowest polymorph listed for this composition: 0 kJ/mol of formula units

a b c (Å): 5.598 5.598 6.096
angles (deg): 90.00 90.00 90.00
Fractional positions:
Li: 0.500 0.500 0.500
Ca: 0.500 0.000 0.000
Ca: 0.000 0.500 0.000
Ir: 0.000 0.000 0.000
Ba: 0.000 0.000 0.500

The following is a DFT calculation (PBE-GGA) of crystalline BaLiCa2Ir at its relaxed geometry.

Summary:
Final energy: -16.8 eV/cell
Energy relative to the elements: -0.019 eV/atom
N(E_F): 3.9 states/eV/f.u.
Space group: P4/mmm
Total magnetic moment: 0.000 μB per formula unit
Energy relative to the lowest polymorph listed for this composition: 41 kJ/mol of formula units

a b c (Å): 5.540 5.540 5.424
angles (deg): 90.00 90.00 90.00
Fractional positions:
Li: 0.000 0.000 0.500
Ir: 0.000 0.000 0.000
Ca: 0.000 0.500 0.000
Ca: 0.500 0.000 0.000
Ba: 0.500 0.500 0.500

Question: The lowest final energy belongs to which entry?
Answer: number 2